Entry from Alexandria via LeMat-Bulk: Dy2PuZn after structural relaxation (PBE).

a = 3.5115 Å, b = 3.5115 Å, c = 8.4924 Å
α = 90.00°, β = 90.00°, γ = 90.00°
With the nearest neighbours (Å) after each atom.
Positions (direct):
Dy 0.0000 0.0000 0.2102  4 Zn 3.06
Dy 0.0000 0.0000 0.7898  4 Zn 3.06
Pu 0.5000 0.5000 0.5000  8 Dy 3.50, 4 Pu 3.51
Zn 0.5000 0.5000 0.0000  8 Dy 3.06

Results
* crystal system: tetragonal
* total DFT energy (no corrections): -6.279 eV/atom
* total magnetic moment: 6.48 μB per formula unit
* calculated density: 10.1 Mg/m³
* distance to the lowest polymorph of the same formula: 0.00 kJ per mole of atoms
* formation energy: -0.0769 eV/atom


Entry from Alexandria via LeMat-Bulk: Dy14PuZr after structural relaxation (PBE).

a = 7.0213 Å, b = 7.0213 Å, c = 9.8761 Å
α = 90.00°, β = 90.00°, γ = 90.00°
With the nearest neighbours (Å) after each atom.
Positions (direct):
Dy 0.0000 0.0000 0.0000  12 Dy 3.51-3.53
Dy 0.0000 0.5000 0.0000  12 Dy 3.51-3.55
Dy 0.0000 0.5000 0.5000  8 Dy 3.45, 2 Pu 3.51, 2 Zr 3.51
Dy 0.2472 0.2472 0.2573  1 Zr 3.43, 10 Dy 3.45-3.57, 1 Pu 3.47
Dy 0.2472 0.2472 0.7427  1 Zr 3.43, 10 Dy 3.45-3.57, 1 Pu 3.47
Dy 0.2472 0.7528 0.2573  1 Zr 3.43, 10 Dy 3.45-3.57, 1 Pu 3.47
Dy 0.2472 0.7528 0.7427  1 Zr 3.43, 10 Dy 3.45-3.57, 1 Pu 3.47
Dy 0.5000 0.0000 0.0000  12 Dy 3.51-3.55
Dy 0.5000 0.0000 0.5000  8 Dy 3.45, 2 Pu 3.51, 2 Zr 3.51
Dy 0.5000 0.5000 0.0000  12 Dy 3.51-3.57
Dy 0.7528 0.2472 0.2573  1 Zr 3.43, 10 Dy 3.45-3.57, 1 Pu 3.47
Dy 0.7528 0.2472 0.7427  1 Zr 3.43, 10 Dy 3.45-3.57, 1 Pu 3.47
Dy 0.7528 0.7528 0.2573  1 Zr 3.43, 10 Dy 3.45-3.57, 1 Pu 3.47
Dy 0.7528 0.7528 0.7427  1 Zr 3.43, 10 Dy 3.45-3.57, 1 Pu 3.47
Pu 0.5000 0.5000 0.5000  12 Dy 3.47-3.51
Zr 0.0000 0.0000 0.5000  12 Dy 3.43-3.51

Results
* crystal system: tetragonal
* total DFT energy (no corrections): -5.403 eV/atom
* total magnetic moment: 6.01 μB per formula unit
* calculated density: 8.9 Mg/m³
* formation energy: 0.0539 eV/atom


Entry from Alexandria via LeMat-Bulk: DyPuZr after structural relaxation (PBE).

a = 5.2861 Å, b = 5.2861 Å, c = 3.2376 Å
α = 90.00°, β = 90.00°, γ = 120.00°
With the nearest neighbours (Å) after each atom.
Positions (direct):
Dy 0.0000 0.0000 0.0000  2 Dy 3.24, 6 Zr 3.45, 6 Pu 3.45
Pu 0.6667 0.3333 0.5000  3 Zr 3.05, 2 Pu 3.24
Zr 0.3333 0.6667 0.5000  3 Pu 3.05, 2 Zr 3.24

Results
* crystal system: hexagonal
* total DFT energy (no corrections): -8.987 eV/atom
* total magnetic moment: 5.17 μB per formula unit
* calculated density: 10.5 Mg/m³
* distance to the lowest polymorph of the same formula: 3.93 kJ per mole of atoms
* formation energy: 0.1738 eV/atom


Entry from Alexandria via LeMat-Bulk: DyPuZr after structural relaxation (PBE).

a = 3.3402 Å, b = 3.3402 Å, c = 14.2880 Å
α = 90.00°, β = 90.00°, γ = 90.00°
With the nearest neighbours (Å) after each atom.
Positions (direct):
Dy 0.0000 0.0000 0.0000  4 Dy 3.34, 4 Zr 3.35, 4 Pu 3.49
Dy 0.5000 0.5000 0.5000  4 Dy 3.34, 4 Zr 3.35, 4 Pu 3.49
Pu 0.0000 0.0000 0.6802  4 Zr 3.22, 4 Pu 3.34, 4 Dy 3.49
Pu 0.5000 0.5000 0.1802  4 Zr 3.22, 4 Pu 3.34, 4 Dy 3.49
Zr 0.0000 0.0000 0.3333  4 Pu 3.22, 4 Zr 3.34, 4 Dy 3.35
Zr 0.5000 0.5000 0.8333  4 Pu 3.22, 4 Zr 3.34, 4 Dy 3.35

Results
* crystal system: tetragonal
* total DFT energy (no corrections): -9.026 eV/atom
* total magnetic moment: 5.71 μB per formula unit
* calculated density: 10.4 Mg/m³
* distance to the lowest polymorph of the same formula: 0.11 kJ per mole of atoms
* formation energy: 0.1342 eV/atom


Entry from Alexandria via LeMat-Bulk: DyPu2Zr after structural relaxation (PBE).

a = 3.2920 Å, b = 3.2920 Å, c = 9.7183 Å
α = 90.00°, β = 90.00°, γ = 90.00°
With the nearest neighbours (Å) after each atom.
Positions (direct):
Dy 0.0000 0.0000 0.0000  4 Dy 3.29, 8 Pu 3.48
Pu 0.5000 0.5000 0.2667  4 Zr 3.25, 4 Pu 3.29, 4 Dy 3.48
Pu 0.5000 0.5000 0.7333  4 Zr 3.25, 4 Pu 3.29, 4 Dy 3.48
Zr 0.0000 0.0000 0.5000  8 Pu 3.25, 4 Zr 3.29

Results
* crystal system: tetragonal
* total DFT energy (no corrections): -10.291 eV/atom
* total magnetic moment: 11.68 μB per formula unit
* calculated density: 11.7 Mg/m³
* distance to the lowest polymorph of the same formula: 0.00 kJ per mole of atoms
* formation energy: 0.1623 eV/atom


Entry from Alexandria via LeMat-Bulk: DyPuZr after structural relaxation (PBE).

a = 3.3452 Å, b = 6.8456 Å, c = 7.3802 Å
α = 103.33°, β = 103.06°, γ = 90.04°
With the nearest neighbours (Å) after each atom.
Positions (direct):
Dy 0.1575 0.0795 0.3150  4 Zr 3.33-3.34, 4 Dy 3.35-3.53, 4 Pu 3.41-3.47
Dy 0.8425 0.9205 0.6850  4 Zr 3.33-3.34, 4 Dy 3.35-3.53, 4 Pu 3.41-3.47
Pu 0.1631 0.5796 0.3262  4 Zr 3.22-3.23, 4 Pu 3.35-3.40, 4 Dy 3.41-3.47
Pu 0.8369 0.4204 0.6738  4 Zr 3.22-3.23, 4 Pu 3.35-3.40, 4 Dy 3.41-3.47
Zr 0.4994 0.2716 0.9982  3 Zr 3.12-3.35, 4 Pu 3.22-3.23, 4 Dy 3.33-3.34
Zr 0.5006 0.7284 0.0018  3 Zr 3.12-3.35, 4 Pu 3.22-3.23, 4 Dy 3.33-3.34

Results
* crystal system: triclinic
* total DFT energy (no corrections): -9.028 eV/atom
* total magnetic moment: 5.49 μB per formula unit
* calculated density: 10.3 Mg/m³
* distance to the lowest polymorph of the same formula: 0.00 kJ per mole of atoms
* formation energy: 0.1331 eV/atom


Entry from Alexandria via LeMat-Bulk: DyPu2Zr after structural relaxation (PBE).

a = 4.6583 Å, b = 4.6583 Å, c = 4.8073 Å
α = 90.00°, β = 90.00°, γ = 90.00°
With the nearest neighbours (Å) after each atom.
Positions (direct):
Dy 0.0000 0.0000 0.0000  4 Zr 3.29, 8 Pu 3.35
Pu 0.0000 0.5000 0.5000  4 Pu 3.29, 4 Zr 3.35, 4 Dy 3.35
Pu 0.5000 0.0000 0.5000  4 Pu 3.29, 4 Zr 3.35, 4 Dy 3.35
Zr 0.5000 0.5000 0.0000  4 Dy 3.29, 8 Pu 3.35

Results
* crystal system: tetragonal
* total DFT energy (no corrections): -10.256 eV/atom
* total magnetic moment: 11.32 μB per formula unit
* calculated density: 11.8 Mg/m³
* distance to the lowest polymorph of the same formula: 3.43 kJ per mole of atoms
* formation energy: 0.1979 eV/atom


Entry from Alexandria via LeMat-Bulk: DyPuZr2 after structural relaxation (PBE).

a = 3.3058 Å, b = 3.3058 Å, c = 32.2255 Å
α = 90.00°, β = 90.00°, γ = 120.00°
With the nearest neighbours (Å) after each atom.
Positions (direct):
Dy 0.0000 0.0000 0.0000  6 Dy 3.31, 6 Zr 3.37
Dy 0.3333 0.6667 0.6667  6 Dy 3.31, 6 Zr 3.37
Dy 0.6667 0.3333 0.3333  6 Dy 3.31, 6 Zr 3.37
Pu 0.0000 0.0000 0.5000  6 Zr 3.22, 6 Pu 3.31
Pu 0.3333 0.6667 0.1667  6 Zr 3.22, 6 Pu 3.31
Pu 0.6667 0.3333 0.8333  6 Zr 3.22, 6 Pu 3.31
Zr 0.0000 0.0000 0.2473  3 Pu 3.22, 6 Zr 3.31, 3 Dy 3.37
Zr 0.0000 0.0000 0.7527  3 Pu 3.22, 6 Zr 3.31, 3 Dy 3.37
Zr 0.3333 0.6667 0.4194  3 Pu 3.22, 6 Zr 3.31, 3 Dy 3.37
Zr 0.3333 0.6667 0.9140  3 Pu 3.22, 6 Zr 3.31, 3 Dy 3.37
Zr 0.6667 0.3333 0.0860  3 Pu 3.22, 6 Zr 3.31, 3 Dy 3.37
Zr 0.6667 0.3333 0.5806  3 Pu 3.22, 6 Zr 3.31, 3 Dy 3.37

Results
* crystal system: trigonal
* total DFT energy (no corrections): -8.857 eV/atom
* total magnetic moment: 5.25 μB per formula unit
* calculated density: 9.6 Mg/m³
* distance to the lowest polymorph of the same formula: 0.27 kJ per mole of atoms
* formation energy: 0.1507 eV/atom


Entry from Alexandria via LeMat-Bulk: DyPuZr2 after structural relaxation (PBE).

a = 3.8034 Å, b = 3.8034 Å, c = 7.0351 Å
α = 90.00°, β = 90.00°, γ = 90.00°
With the nearest neighbours (Å) after each atom.
Positions (direct):
Dy 0.0000 0.0000 0.0000  8 Zr 3.35, 2 Pu 3.52
Pu 0.0000 0.0000 0.5000  8 Zr 3.09
Zr 0.5000 0.5000 0.2844  1 Zr 3.03, 4 Pu 3.09, 4 Dy 3.35
Zr 0.5000 0.5000 0.7156  1 Zr 3.03, 4 Pu 3.09, 4 Dy 3.35

Results
* crystal system: tetragonal
* total DFT energy (no corrections): -8.832 eV/atom
* total magnetic moment: 5.37 μB per formula unit
* calculated density: 9.6 Mg/m³
* distance to the lowest polymorph of the same formula: 2.63 kJ per mole of atoms
* formation energy: 0.1751 eV/atom


Entry from Alexandria via LeMat-Bulk: DyPuZr2 after structural relaxation (PBE).

a = 3.3217 Å, b = 3.3217 Å, c = 32.0429 Å
α = 90.00°, β = 90.00°, γ = 120.00°
With the nearest neighbours (Å) after each atom.
Positions (direct):
Dy 0.0000 0.0000 0.0000  6 Dy 3.32, 6 Zr 3.34-3.38
Dy 0.3333 0.6667 0.6667  6 Dy 3.32, 6 Zr 3.34-3.38
Dy 0.6667 0.3333 0.3333  6 Dy 3.32, 6 Zr 3.34-3.38
Pu 0.0000 0.0000 0.1671  6 Zr 3.21-3.23, 6 Pu 3.32
Pu 0.3333 0.6667 0.8337  6 Zr 3.21-3.23, 6 Pu 3.32
Pu 0.6667 0.3333 0.5004  6 Zr 3.21-3.23, 6 Pu 3.32
Zr 0.0000 0.0000 0.4200  3 Pu 3.21, 6 Zr 3.32, 3 Dy 3.38
Zr 0.0000 0.0000 0.5815  3 Pu 3.23, 6 Zr 3.32, 3 Dy 3.34
Zr 0.3333 0.6667 0.0867  3 Pu 3.21, 6 Zr 3.32, 3 Dy 3.38
Zr 0.3333 0.6667 0.2481  3 Pu 3.23, 6 Zr 3.32, 3 Dy 3.34
Zr 0.6667 0.3333 0.7533  3 Pu 3.21, 6 Zr 3.32, 3 Dy 3.38
Zr 0.6667 0.3333 0.9148  3 Pu 3.23, 6 Zr 3.32, 3 Dy 3.34

Results
* crystal system: trigonal
* total DFT energy (no corrections): -8.856 eV/atom
* total magnetic moment: 5.19 μB per formula unit
* calculated density: 9.6 Mg/m³
* distance to the lowest polymorph of the same formula: 0.31 kJ per mole of atoms
* formation energy: 0.1511 eV/atom


Entry from Alexandria via LeMat-Bulk: DyPuZr2 after structural relaxation (PBE).

a = 4.6380 Å, b = 4.6380 Å, c = 4.7107 Å
α = 90.00°, β = 90.00°, γ = 90.00°
With the nearest neighbours (Å) after each atom.
Positions (direct):
Dy 0.0000 0.0000 0.0000  4 Pu 3.28, 8 Zr 3.31
Pu 0.5000 0.5000 0.0000  4 Dy 3.28, 8 Zr 3.31
Zr 0.0000 0.5000 0.5000  4 Zr 3.28, 4 Pu 3.31, 4 Dy 3.31
Zr 0.5000 0.0000 0.5000  4 Zr 3.28, 4 Pu 3.31, 4 Dy 3.31

Results
* crystal system: tetragonal
* total DFT energy (no corrections): -8.860 eV/atom
* total magnetic moment: 5.76 μB per formula unit
* calculated density: 9.7 Mg/m³
* distance to the lowest polymorph of the same formula: 0.00 kJ per mole of atoms
* formation energy: 0.1478 eV/atom


Entry from Alexandria via LeMat-Bulk: RbDy4 after structural relaxation (PBE).

a = 5.5614 Å, b = 5.5614 Å, c = 5.5614 Å
α = 90.00°, β = 90.00°, γ = 90.00°
With the nearest neighbours (Å) after each atom.
Positions (direct):
Rb 0.0000 0.0000 0.0000  6 Dy 2.78
Dy 0.0000 0.0000 0.5000  2 Rb 2.78
Dy 0.0000 0.5000 0.0000  2 Rb 2.78
Dy 0.5000 0.0000 0.0000  2 Rb 2.78
Dy 0.5000 0.5000 0.5000  12 Dy 3.93

Results
* crystal system: cubic
* total DFT energy (no corrections): -2.739 eV/atom
* total magnetic moment: 0.00 μB per formula unit
* calculated density: 7.1 Mg/m³
* formation energy: 1.1357 eV/atom


Entry from Alexandria via LeMat-Bulk: Rb3Dy after structural relaxation (PBE).

a = 9.0264 Å, b = 9.0264 Å, c = 7.3969 Å
α = 90.00°, β = 90.00°, γ = 120.00°
With the nearest neighbours (Å) after each atom.
Positions (direct):
Rb 0.1734 0.3467 0.2500  8 Rb 4.33-4.69, 4 Dy 4.46-4.51
Rb 0.1734 0.8266 0.2500  8 Rb 4.33-4.69, 4 Dy 4.46-4.51
Rb 0.3467 0.1734 0.7500  8 Rb 4.33-4.69, 4 Dy 4.46-4.51
Rb 0.6533 0.8266 0.2500  8 Rb 4.33-4.69, 4 Dy 4.46-4.51
Rb 0.8266 0.1734 0.7500  8 Rb 4.33-4.69, 4 Dy 4.46-4.51
Rb 0.8266 0.6533 0.7500  8 Rb 4.33-4.69, 4 Dy 4.46-4.51
Dy 0.3333 0.6667 0.7500  12 Rb 4.46-4.51
Dy 0.6667 0.3333 0.2500  12 Rb 4.46-4.51

Results
* crystal system: hexagonal
* total DFT energy (no corrections): -1.254 eV/atom
* total magnetic moment: 1.11 μB per formula unit
* calculated density: 2.7 Mg/m³
* distance to the lowest polymorph of the same formula: 0.00 kJ per mole of atoms
* formation energy: 0.6222 eV/atom


Record order is preserved below.
N(E_F): 9.38 26.33 9.89 6.68 13.10 7.84 14.18 9.41 8.81 9.40 11.41 5.18 6.52 states/eV/f.u.